Entry 1:
! LaIrO2 PBE optimized geometry; values from VASP
&SYSTEM
  ibrav = 0, nat = 8, ntyp = 3
/
ATOMIC_SPECIES
O 16.00 O.upf
Ir 192.22 Ir.upf
La 138.91 La.upf
CELL_PARAMETERS angstrom
4.413 0.000 0.000
0.000 4.413 0.000
2.207 2.207 6.562
ATOMIC_POSITIONS crystal
O 0.875 0.942 0.750
O 0.692 0.125 0.250
O 0.058 0.625 0.250
O 0.375 0.308 0.750
Ir 0.000 0.000 0.000
Ir 0.750 0.250 0.500
La 0.250 0.750 0.500
La 0.500 0.500 0.000
! E above lowest polymorph ... 301 meV per atom
! SG ... I-42d, No. 122
! Total magnetization ... 0.00 μB/f.u.
! Total energy ... -58.6 eV per cell
! Formation energy (no corrections) ... -1400 meV/atom



Entry 2:
! La2IrO PBE optimized geometry; values from VASP
&SYSTEM
  ibrav = 0, nat = 8, ntyp = 3
/
ATOMIC_SPECIES
La 138.91 La.upf
Ir 192.22 Ir.upf
O 16.00 O.upf
CELL_PARAMETERS angstrom
5.996 0.000 0.000
0.000 5.996 0.000
2.998 2.998 5.970
ATOMIC_POSITIONS crystal
La 0.175 0.625 0.250
La 0.875 0.825 0.750
La 0.375 0.425 0.750
La 0.575 0.125 0.250
Ir 0.000 0.000 0.000
Ir 0.750 0.250 0.500
O 0.500 0.500 0.000
O 0.250 0.750 0.500
! SG ... I-42d, No. 122
! Total magnetization ... 0.00 μB/f.u.
! Total energy ... -59.7 eV per cell
! Formation energy (no corrections) ... -1543 meV/atom



Entry 3:
! LaIrO PBE optimized geometry; values from VASP
&SYSTEM
  ibrav = 0, nat = 6, ntyp = 3
/
ATOMIC_SPECIES
O 16.00 O.upf
La 138.91 La.upf
Ir 192.22 Ir.upf
CELL_PARAMETERS angstrom
3.963 0.970 -0.190
0.951 3.968 -0.190
-2.913 -2.927 8.330
ATOMIC_POSITIONS crystal
O 0.400 0.400 0.107
O 0.600 0.600 0.893
La 0.208 0.208 0.811
La 0.792 0.792 0.189
Ir 0.319 0.319 0.492
Ir 0.681 0.681 0.508
! SG ... C2/m, No. 12
! Total magnetization ... 0.00 μB/f.u.
! Total energy ... -49.1 eV per cell
! Formation energy (no corrections) ... -1941 meV/atom



Entry 4:
! La4Ir2O PBE optimized geometry; values from VASP
&SYSTEM
  ibrav = 0, nat = 7, ntyp = 3
/
ATOMIC_SPECIES
O 16.00 O.upf
La 138.91 La.upf
Ir 192.22 Ir.upf
CELL_PARAMETERS angstrom
4.900 0.000 0.000
0.000 4.900 0.000
2.450 2.450 7.335
ATOMIC_POSITIONS crystal
O 0.000 0.000 0.000
La 0.809 0.809 0.381
La 0.000 0.500 0.000
La 0.191 0.191 0.619
La 0.500 0.000 0.000
Ir 0.370 0.370 0.260
Ir 0.630 0.630 0.740
! SG ... I4/mmm, No. 139
! Total magnetization ... 0.00 μB/f.u.
! Total energy ... -50.9 eV per cell
! Formation energy (no corrections) ... -1218 meV/atom



Entry 5:
! La2IrO2 PBE optimized geometry; values from VASP
&SYSTEM
  ibrav = 0, nat = 5, ntyp = 3
/
ATOMIC_SPECIES
O 16.00 O.upf
La 138.91 La.upf
Ir 192.22 Ir.upf
CELL_PARAMETERS angstrom
3.909 0.000 0.000
0.000 3.909 0.000
1.954 1.954 6.658
ATOMIC_POSITIONS crystal
O 0.750 0.250 0.500
O 0.250 0.750 0.500
La 0.652 0.652 0.696
La 0.348 0.348 0.304
Ir 0.000 0.000 0.000
! SG ... I4/mmm, No. 139
! Total magnetization ... 0.40 μB/f.u.
! Total energy ... -39.0 eV per cell
! Formation energy (no corrections) ... -2075 meV/atom



Entry 6:
! La12Ir3O5 PBE optimized geometry; values from VASP
&SYSTEM
  ibrav = 0, nat = 80, ntyp = 3
/
ATOMIC_SPECIES
Ir 192.22 Ir.upf
O 16.00 O.upf
La 138.91 La.upf
CELL_PARAMETERS angstrom
13.832 0.000 0.000
-4.611 13.041 0.000
-4.611 -6.521 11.294
ATOMIC_POSITIONS crystal
Ir 0.375 0.625 0.250
Ir 0.625 0.375 0.750
Ir 0.250 0.125 0.375
Ir 0.875 0.750 0.125
Ir 0.125 0.250 0.875
Ir 0.625 0.250 0.375
Ir 0.875 0.125 0.250
Ir 0.125 0.875 0.750
Ir 0.250 0.625 0.875
Ir 0.750 0.875 0.625
Ir 0.750 0.375 0.125
Ir 0.375 0.750 0.625
O 0.000 0.500 0.500
O 0.875 0.250 0.625
O 0.250 0.375 0.625
O 0.500 0.000 0.500
O 0.000 0.500 0.000
O 0.000 0.000 0.500
O 0.125 0.750 0.375
O 0.500 0.500 0.000
O 0.625 0.875 0.250
O 0.500 0.500 0.500
O 0.375 0.250 0.125
O 0.000 0.000 0.000
O 0.750 0.625 0.375
O 0.625 0.750 0.875
O 0.750 0.125 0.875
O 0.250 0.875 0.125
O 0.125 0.375 0.250
O 0.875 0.625 0.750
O 0.375 0.125 0.750
O 0.500 0.000 0.000
La 0.620 0.594 0.911
La 0.791 0.317 0.911
La 0.594 0.974 0.683
La 0.317 0.526 0.406
La 0.974 0.594 0.183
La 0.709 0.589 0.183
La 0.526 0.317 0.906
La 0.411 0.291 0.317
La 0.709 0.120 0.026
La 0.411 0.120 0.594
La 0.620 0.026 0.209
La 0.906 0.089 0.880
La 0.683 0.474 0.594
La 0.880 0.589 0.906
La 0.406 0.380 0.589
La 0.380 0.406 0.089
La 0.974 0.380 0.291
La 0.474 0.791 0.880
La 0.474 0.683 0.094
La 0.291 0.880 0.974
La 0.120 0.709 0.526
La 0.683 0.209 0.589
La 0.317 0.791 0.411
La 0.817 0.906 0.026
La 0.589 0.709 0.683
La 0.094 0.911 0.120
La 0.094 0.183 0.474
La 0.911 0.817 0.791
La 0.089 0.183 0.209
La 0.380 0.974 0.791
La 0.911 0.094 0.620
La 0.791 0.474 0.380
La 0.594 0.620 0.411
La 0.406 0.026 0.317
La 0.209 0.683 0.089
La 0.291 0.411 0.817
La 0.120 0.411 0.094
La 0.089 0.906 0.380
La 0.183 0.089 0.709
La 0.026 0.406 0.817
La 0.183 0.094 0.974
La 0.209 0.526 0.620
La 0.026 0.620 0.709
La 0.817 0.911 0.291
La 0.880 0.291 0.474
La 0.526 0.209 0.120
La 0.589 0.880 0.406
La 0.906 0.817 0.526
! SG ... Ia-3d, No. 230
! Total magnetization ... 0.01 μB/f.u.
! Total energy ... -568.5 eV per cell
! Formation energy (no corrections) ... -1581 meV/atom



Entry 7:
! La2IrO PBE optimized geometry; values from VASP
&SYSTEM
  ibrav = 0, nat = 4, ntyp = 3
/
ATOMIC_SPECIES
Ir 192.22 Ir.upf
O 16.00 O.upf
La 138.91 La.upf
CELL_PARAMETERS angstrom
3.915 0.000 0.000
1.958 3.391 0.000
1.958 1.130 6.647
ATOMIC_POSITIONS crystal
Ir 0.500 0.500 0.500
O 0.000 0.000 0.000
La 0.743 0.743 0.772
La 0.257 0.257 0.228
! SG ... R-3m, No. 166
! Total magnetization ... 0.00 μB/f.u.
! Total energy ... -30.2 eV per cell
! Formation energy (no corrections) ... -1625 meV/atom



Entry 8:
! La6Ir3O PBE optimized geometry; values from VASP
&SYSTEM
  ibrav = 0, nat = 20, ntyp = 3
/
ATOMIC_SPECIES
La 138.91 La.upf
O 16.00 O.upf
Ir 192.22 Ir.upf
CELL_PARAMETERS angstrom
6.931 0.000 0.000
0.000 8.806 -2.657
0.000 0.559 9.181
ATOMIC_POSITIONS crystal
La 0.175 0.784 0.216
La 0.697 0.884 0.434
La 0.164 0.050 0.950
La 0.191 0.362 0.306
La 0.197 0.434 0.884
La 0.664 0.950 0.050
La 0.697 0.566 0.116
La 0.675 0.216 0.784
La 0.197 0.116 0.566
La 0.691 0.306 0.362
La 0.191 0.694 0.638
La 0.691 0.638 0.694
O 0.029 0.203 0.797
O 0.529 0.797 0.203
Ir 0.465 0.283 0.068
Ir 0.912 0.608 0.392
Ir 0.965 0.068 0.283
Ir 0.465 0.932 0.717
Ir 0.412 0.392 0.608
Ir 0.965 0.717 0.932
! SG ... Cmc2_1, No. 36
! Total magnetization ... 0.00 μB/f.u.
! Total energy ... -144.1 eV per cell
! Formation energy (no corrections) ... -1097 meV/atom



Entry 9:
! La3IrO6 PBE optimized geometry; values from VASP
&SYSTEM
  ibrav = 0, nat = 20, ntyp = 3
/
ATOMIC_SPECIES
O 16.00 O.upf
La 138.91 La.upf
Ir 192.22 Ir.upf
CELL_PARAMETERS angstrom
5.961 0.000 0.000
0.000 7.597 -0.062
0.000 -1.756 7.391
ATOMIC_POSITIONS crystal
O 0.695 0.646 0.671
O 0.207 0.117 0.591
O 0.702 0.930 0.070
O 0.168 0.791 0.209
O 0.202 0.070 0.930
O 0.195 0.671 0.646
O 0.707 0.883 0.409
O 0.707 0.591 0.117
O 0.207 0.409 0.883
O 0.695 0.329 0.354
O 0.195 0.354 0.329
O 0.668 0.209 0.791
La 0.456 0.906 0.685
La 0.956 0.094 0.315
La 0.956 0.685 0.906
La 0.456 0.315 0.094
La 0.921 0.600 0.400
La 0.421 0.400 0.600
Ir 0.978 0.204 0.796
Ir 0.478 0.796 0.204
! SG ... Cmc2_1, No. 36
! Total magnetization ... 0.00 μB/f.u.
! Total energy ... -158.1 eV per cell
! Formation energy (no corrections) ... -2565 meV/atom



Entry 10:
! La2Ir2O7 PBE optimized geometry; values from VASP
&SYSTEM
  ibrav = 0, nat = 22, ntyp = 3
/
ATOMIC_SPECIES
O 16.00 O.upf
Ir 192.22 Ir.upf
La 138.91 La.upf
CELL_PARAMETERS angstrom
6.469 0.000 3.735
2.156 6.099 3.735
0.000 0.000 7.470
ATOMIC_POSITIONS crystal
O 0.795 0.205 0.205
O 0.455 0.045 0.455
O 0.795 0.795 0.205
O 0.455 0.455 0.045
O 0.795 0.205 0.795
O 0.500 0.500 0.500
O 0.045 0.455 0.455
O 0.205 0.795 0.205
O 0.455 0.045 0.045
O 0.045 0.455 0.045
O 0.205 0.205 0.795
O 0.750 0.750 0.750
O 0.045 0.045 0.455
O 0.205 0.795 0.795
Ir 0.625 0.125 0.125
Ir 0.125 0.125 0.125
Ir 0.125 0.125 0.625
Ir 0.125 0.625 0.125
La 0.625 0.625 0.125
La 0.125 0.625 0.625
La 0.625 0.125 0.625
La 0.625 0.625 0.625
! SG ... Fd-3m, No. 227
! Total magnetization ... 0.00 μB/f.u.
! Total energy ... -168.9 eV per cell
! Formation energy (no corrections) ... -2014 meV/atom



Entry 11:
! La2IrO PBE optimized geometry; values from VASP
&SYSTEM
  ibrav = 0, nat = 4, ntyp = 3
/
ATOMIC_SPECIES
La 138.91 La.upf
Ir 192.22 Ir.upf
O 16.00 O.upf
CELL_PARAMETERS angstrom
-0.017 3.147 2.222
-2.219 3.007 -0.936
-6.042 -0.670 4.243
ATOMIC_POSITIONS crystal
La 0.092 0.092 0.725
La 0.252 0.252 0.243
Ir 0.668 0.668 0.997
O 0.489 0.489 0.534
! SG ... R3m, No. 160
! Total magnetization ... 0.00 μB/f.u.
! Total energy ... -29.6 eV per cell
! Formation energy (no corrections) ... -1478 meV/atom



Entry 12:
! LaPIrO PBE optimized geometry; values from VASP
&SYSTEM
  ibrav = 0, nat = 8, ntyp = 4
/
ATOMIC_SPECIES
La 138.91 La.upf
P 30.97 P.upf
O 16.00 O.upf
Ir 192.22 Ir.upf
CELL_PARAMETERS angstrom
-3.448 0.373 -2.052
-2.009 -1.658 3.074
-1.201 7.832 3.440
ATOMIC_POSITIONS crystal
La 0.500 0.000 0.644
La 0.000 0.500 0.356
P 0.500 0.000 0.149
P 0.000 0.500 0.851
O 0.500 0.500 0.500
O 0.000 0.000 0.500
Ir 0.500 0.500 0.000
Ir 0.000 0.000 0.000
! SG ... P4/nmm, No. 129
! Total magnetization ... 0.00 μB/f.u.
! Total energy ... -64.4 eV per cell
! Formation energy (no corrections) ... -2009 meV/atom



Entry 13:
! LaPIrO2 PBE optimized geometry; values from VASP
&SYSTEM
  ibrav = 0, nat = 5, ntyp = 4
/
ATOMIC_SPECIES
O 16.00 O.upf
Ir 192.22 Ir.upf
P 30.97 P.upf
La 138.91 La.upf
CELL_PARAMETERS angstrom
4.098 0.000 0.000
0.000 4.098 0.000
0.000 0.000 4.714
ATOMIC_POSITIONS crystal
O 0.500 0.000 0.000
O 0.000 0.500 0.000
Ir 0.000 0.000 0.000
P 0.000 0.000 0.500
La 0.500 0.500 0.500
! E above lowest polymorph ... 0 meV per atom
! SG ... P4/mmm, No. 123
! Total magnetization ... 0.69 μB/f.u.
! Total energy ... -34.0 eV per cell
! Formation energy (no corrections) ... -976 meV/atom



Entry 14:
! LaPIrO2 PBE optimized geometry; values from VASP
&SYSTEM
  ibrav = 0, nat = 5, ntyp = 4
/
ATOMIC_SPECIES
O 16.00 O.upf
P 30.97 P.upf
Ir 192.22 Ir.upf
La 138.91 La.upf
CELL_PARAMETERS angstrom
-1.245 0.591 3.774
2.160 -3.166 1.208
5.557 4.238 1.170
ATOMIC_POSITIONS crystal
O 0.500 0.000 0.000
O 0.000 0.500 0.000
P 0.000 0.000 0.500
Ir 0.500 0.500 0.500
La 0.000 0.000 0.000
! E above lowest polymorph ... 871 meV per atom
! SG ... P4/mmm, No. 123
! Total magnetization ... 0.63 μB/f.u.
! Total energy ... -29.6 eV per cell
! Formation energy (no corrections) ... -104 meV/atom



Entry 15:
! LaP2IrO PBE optimized geometry; values from VASP
&SYSTEM
  ibrav = 0, nat = 5, ntyp = 4
/
ATOMIC_SPECIES
O 16.00 O.upf
Ir 192.22 Ir.upf
La 138.91 La.upf
P 30.97 P.upf
CELL_PARAMETERS angstrom
-3.685 -1.616 -2.857
0.978 -4.640 1.363
-2.420 0.349 2.924
ATOMIC_POSITIONS crystal
O 0.000 0.000 0.500
Ir 0.000 0.000 0.000
La 0.500 0.500 0.500
P 0.500 0.000 0.000
P 0.000 0.500 0.000
! E above lowest polymorph ... 0 meV per atom
! SG ... P4/mmm, No. 123
! Total magnetization ... 0.00 μB/f.u.
! Total energy ... -32.6 eV per cell
! Formation energy (no corrections) ... -604 meV/atom



Entry 16:
! LaP2IrO PBE optimized geometry; values from VASP
&SYSTEM
  ibrav = 0, nat = 5, ntyp = 4
/
ATOMIC_SPECIES
La 138.91 La.upf
O 16.00 O.upf
Ir 192.22 Ir.upf
P 30.97 P.upf
CELL_PARAMETERS angstrom
5.491 0.000 0.000
0.000 5.491 0.000
0.000 0.000 4.024
ATOMIC_POSITIONS crystal
La 0.000 0.000 0.000
O 0.000 0.000 0.500
Ir 0.500 0.500 0.500
P 0.500 0.000 0.000
P 0.000 0.500 0.000
! E above lowest polymorph ... 1444 meV per atom
! SG ... P4/mmm, No. 123
! Total magnetization ... 0.98 μB/f.u.
! Total energy ... -25.4 eV per cell
! Formation energy (no corrections) ... 840 meV/atom



Entry 17:
! LaIrPbO6 PBE optimized geometry; values from VASP
&SYSTEM
  ibrav = 0, nat = 18, ntyp = 4
/
ATOMIC_SPECIES
O 16.00 O.upf
La 138.91 La.upf
Ir 192.22 Ir.upf
Pb 207.20 Pb.upf
CELL_PARAMETERS angstrom
-0.163 2.848 5.111
-4.974 -1.198 -2.843
-0.621 -8.140 4.515
ATOMIC_POSITIONS crystal
O 0.943 0.337 0.134
O 0.663 0.057 0.366
O 0.663 0.606 0.134
O 0.943 0.606 0.366
O 0.057 0.394 0.634
O 0.394 0.337 0.366
O 0.057 0.663 0.866
O 0.394 0.057 0.134
O 0.337 0.943 0.634
O 0.606 0.943 0.866
O 0.606 0.663 0.634
O 0.337 0.394 0.866
La 0.333 0.667 0.250
La 0.667 0.333 0.750
Ir 0.333 0.667 0.750
Ir 0.667 0.333 0.250
Pb 0.000 0.000 0.000
Pb 0.000 0.000 0.500
! SG ... P-31c, No. 163
! Total magnetization ... 1.63 μB/f.u.
! Total energy ... -120.6 eV per cell
! Formation energy (no corrections) ... -1450 meV/atom



Entry 18:
! La3IrPbO PBE optimized geometry; values from VASP
&SYSTEM
  ibrav = 0, nat = 12, ntyp = 4
/
ATOMIC_SPECIES
La 138.91 La.upf
Ir 192.22 Ir.upf
O 16.00 O.upf
Pb 207.20 Pb.upf
CELL_PARAMETERS angstrom
-3.391 -2.322 0.438
-0.535 -0.989 -9.391
5.463 -7.406 3.031
ATOMIC_POSITIONS crystal
La 0.250 0.554 0.846
La 0.750 0.873 0.148
La 0.750 0.170 0.531
La 0.250 0.830 0.469
La 0.250 0.127 0.852
La 0.750 0.446 0.154
Ir 0.750 0.338 0.847
Ir 0.250 0.662 0.153
O 0.750 0.920 0.404
O 0.250 0.080 0.596
Pb 0.750 0.811 0.766
Pb 0.250 0.189 0.234
! SG ... P2_1/m, No. 11
! Total magnetization ... 0.00 μB/f.u.
! Total energy ... -81.4 eV per cell
! Formation energy (no corrections) ... -1401 meV/atom



Entry 19:
! La2IrPbO8 PBE optimized geometry; values from VASP
&SYSTEM
  ibrav = 0, nat = 12, ntyp = 4
/
ATOMIC_SPECIES
O 16.00 O.upf
Pb 207.20 Pb.upf
La 138.91 La.upf
Ir 192.22 Ir.upf
CELL_PARAMETERS angstrom
-3.817 2.742 -1.980
0.946 -2.264 -4.444
-4.587 -5.155 1.568
ATOMIC_POSITIONS crystal
O 0.206 0.856 0.787
O 0.696 0.697 0.532
O 0.142 0.793 0.215
O 0.304 0.303 0.468
O 0.263 0.263 0.039
O 0.737 0.737 0.961
O 0.858 0.207 0.785
O 0.794 0.144 0.213
Pb 0.000 0.000 0.500
La 0.548 0.550 0.246
La 0.452 0.450 0.754
Ir 0.000 0.000 0.000
! SG ... P-1, No. 2
! Total magnetization ... 1.03 μB/f.u.
! Total energy ... -83.9 eV per cell
! Formation energy (no corrections) ... -1816 meV/atom